MgFeAu2O6: optimized geometry, PBE+U.

Output
total energy = -103.2 eV for the cell shown
space group = C2/c

Cell: 7.029 7.029 5.848 Å, 103.65 103.65 64.40°
Fractional coordinates of all 20 atoms:
Mg1 0.119 0.881 0.750
Mg2 0.881 0.119 0.250
Fe1 0.288 0.712 0.250
Fe2 0.712 0.288 0.750
Au1 0.122 0.393 0.763
Au2 0.393 0.122 0.263
Au3 0.607 0.878 0.737
Au4 0.878 0.607 0.237
O1 0.000 0.173 0.635
O2 0.000 0.827 0.365
O3 0.173 0.000 0.135
O4 0.202 0.436 0.271
O5 0.237 0.618 0.910
O6 0.382 0.763 0.590
O7 0.436 0.202 0.771
O8 0.564 0.798 0.229
O9 0.618 0.237 0.410
O10 0.763 0.382 0.090
O11 0.798 0.564 0.729
O12 0.827 0.000 0.865